Entry 1:
PrNbSb2 after structural relaxation. Source: the Alexandria database, functional PBE.

Formation energy from raw total energies: -0.47 eV/atom
Calculated density: 7.3 Mg/m³
Space group: R-3m, No. 166
E_tot: -0.4587 Ry per atom

Geometry as POSCAR:
```
PrNbSb2
1.0
-0.4418 -0.7797 4.1307
0.4811 -3.9331 1.4716
6.8615 -0.3746 2.8257
Nb Sb Pr
1 2 1
direct
0.0000 0.0000 0.0000
0.7380 0.7380 0.7861
0.2620 0.2620 0.2139
0.5000 0.5000 0.5000
```

***

Entry 2:
LaCdB after structural relaxation. Source: the Alexandria database, functional PBE.

Calculated density: 6.5 Mg/m³
DFT formation energy: -0.213 eV/atom
Distance to the lowest polymorph of the same formula: 136 meV per atom
Space group: Amm2, No. 38
E_tot: -0.3224 Ry per atom

Geometry as POSCAR:
```
LaCdB
1.0
3.2431 -0.0004 0.0024
1.6230 8.1136 -0.0012
-3.2446 0.0031 5.0971
Cd B La
2 2 2
direct
0.2367 0.5061 0.9150
0.6478 0.6830 0.4149
0.9089 0.1624 0.9153
0.3848 0.2111 0.9155
0.5487 0.8819 0.9148
0.3492 0.2814 0.4152
```

***

Entry 3:
Gd2ZnIr after structural relaxation. Source: the Alexandria database, functional PBE.

Calculated density: 10.7 Mg/m³
DFT formation energy: -0.568 eV/atom
Space group: P4/mmm, No. 123
E_tot: -0.7454 Ry per atom

Geometry as POSCAR:
```
Gd2ZnIr
1.0
3.5424 0.0000 0.0000
0.0000 3.5424 0.0000
0.0000 0.0000 7.0929
Zn Gd Ir
1 2 1
direct
0.5000 0.5000 0.0000
0.0000 0.0000 0.7318
0.0000 0.0000 0.2682
0.5000 0.5000 0.5000
```